(1)
An optimized crystal structure of TmZrGa2. Source: Alexandria via LeMat-Bulk, functional PBE.

a = 8.5730 Å, b = 8.5730 Å, c = 8.5730 Å
α = 23.55°, β = 23.55°, γ = 23.55°
Atoms (fractional coordinates):
Tm  0.0000  0.0000  0.0000
Zr  0.5000  0.5000  0.5000
Ga  0.2470  0.2470  0.2470
Ga  0.7530  0.7530  0.7530

Calculated values
energy relative to the lowest polymorph listed for this composition = 229 meV per atom
ΔH_f (0 K) = -0.36 eV/atom

(2)
An optimized crystal structure of PaBi2AuO8. Source: Alexandria via LeMat-Bulk, functional PBE.

a = 5.1519 Å, b = 5.1560 Å, c = 7.1522 Å
α = 84.23°, β = 84.31°, γ = 87.32°
Atoms (fractional coordinates):
Pa  0.0000  0.0000  0.0000
Bi  0.4779  0.4780  0.2540
Bi  0.5221  0.5220  0.7460
Au  0.0000  0.0000  0.5000
O  0.1631  0.1639  0.2491
O  0.2240  0.2276  0.8052
O  0.2916  0.7093  0.4998
O  0.3133  0.6896  0.9996
O  0.6867  0.3104  0.0004
O  0.7084  0.2907  0.5002
O  0.7760  0.7724  0.1948
O  0.8369  0.8361  0.7509

Calculated values
formation energy from raw total energies = -1.51 eV/atom

(3)
An optimized crystal structure of Cu3Ni6Rh. Source: Alexandria via LeMat-Bulk, functional PBE.

a = 7.2986 Å, b = 7.2986 Å, c = 4.9410 Å
α = 90.00°, β = 90.00°, γ = 108.90°
Atoms (fractional coordinates):
Cu  0.0150  0.9850  0.5000
Cu  0.1946  0.5188  0.0357
Cu  0.4812  0.8054  0.0357
Cu  0.5188  0.1946  0.5357
Cu  0.8054  0.4812  0.5357
Cu  0.9850  0.0150  0.0000
Ni  0.0119  0.7092  0.8112
Ni  0.1730  0.8270  0.2296
Ni  0.2135  0.2941  0.6689
Ni  0.2908  0.9881  0.8112
Ni  0.2941  0.2135  0.1689
Ni  0.4944  0.5056  0.3543
Ni  0.5056  0.4944  0.8543
Ni  0.7059  0.7865  0.6689
Ni  0.7092  0.0119  0.3112
Ni  0.7865  0.7059  0.1689
Ni  0.8270  0.1730  0.7296
Ni  0.9881  0.2908  0.3112
Rh  0.3154  0.6846  0.5706
Rh  0.6846  0.3154  0.0706

Calculated values
ΔH_f (0 K) = 0.29 eV/atom

(4)
An optimized crystal structure of PrDySc3. Source: Alexandria via LeMat-Bulk, functional PBE.

a = 10.5354 Å, b = 10.5354 Å, c = 8.0756 Å
α = 105.65°, β = 105.65°, γ = 19.03°
Atoms (fractional coordinates):
Pr  0.1822  0.1822  0.3761
Pr  0.8178  0.8178  0.6239
Dy  0.3913  0.3913  0.9948
Dy  0.6087  0.6087  0.0052
Sc  0.0169  0.0169  0.2380
Sc  0.2149  0.2149  0.8251
Sc  0.4190  0.4190  0.4115
Sc  0.5810  0.5810  0.5885
Sc  0.7851  0.7851  0.1749
Sc  0.9831  0.9831  0.7620

Calculated values
energy relative to the lowest polymorph listed for this composition = 0 meV per atom
ΔH_f (0 K) = 0.05 eV/atom

(5)
An optimized crystal structure of Ba2ThAuS5. Source: Alexandria via LeMat-Bulk, functional PBE.

a = 9.4871 Å, b = 9.4871 Å, c = 12.9499 Å
α = 90.00°, β = 90.00°, γ = 154.66°
Atoms (fractional coordinates):
Ba  0.1188  0.8812  0.5000
Ba  0.1245  0.8755  0.1381
Ba  0.8755  0.1245  0.6381
Ba  0.8812  0.1188  0.0000
Th  0.1972  0.8028  0.8225
Th  0.8028  0.1972  0.3225
Au  0.4644  0.5356  0.2596
Au  0.5356  0.4644  0.7596
S  0.0413  0.9587  0.8547
S  0.2995  0.7005  0.4669
S  0.3027  0.6973  0.1767
S  0.3440  0.6560  0.8215
S  0.4992  0.5008  0.5829
S  0.5008  0.4992  0.0829
S  0.6560  0.3440  0.3215
S  0.6973  0.3027  0.6767
S  0.7005  0.2995  0.9669
S  0.9587  0.0413  0.3547

Calculated values
formation energy from raw total energies = -1.57 eV/atom

(6)
An optimized crystal structure of Co4NiIr2Rh. Source: Alexandria via LeMat-Bulk, functional PBE.

a = 3.7139 Å, b = 3.7139 Å, c = 7.1881 Å
α = 90.00°, β = 90.00°, γ = 90.00°
Atoms (fractional coordinates):
Co  0.0000  0.5000  0.2447
Co  0.0000  0.5000  0.7553
Co  0.5000  0.0000  0.2447
Co  0.5000  0.0000  0.7553
Ni  0.0000  0.0000  0.0000
Ir  0.0000  0.0000  0.5000
Ir  0.5000  0.5000  0.0000
Rh  0.5000  0.5000  0.5000

Calculated values
ΔH_f (0 K) = 0.06 eV/atom

(7)
An optimized crystal structure of PmY2Sc5. Source: Alexandria via LeMat-Bulk, functional PBE.

a = 6.7277 Å, b = 6.7277 Å, c = 6.7277 Å
α = 118.88°, β = 118.88°, γ = 91.96°
Atoms (fractional coordinates):
Pm  0.0000  0.0000  0.0000
Y  0.0000  0.5000  0.5000
Y  0.5000  0.0000  0.5000
Sc  0.0000  0.0000  0.5000
Sc  0.0000  0.5000  0.0000
Sc  0.5000  0.0000  0.0000
Sc  0.5000  0.5000  0.0000
Sc  0.5000  0.5000  0.5000

Calculated values
ΔH_f (0 K) = 0.06 eV/atom

(8)
An optimized crystal structure of SbP2Cl. Source: Alexandria via LeMat-Bulk, functional PBE.

a = 4.7510 Å, b = 4.7510 Å, c = 4.7510 Å
α = 60.00°, β = 60.00°, γ = 60.00°
Atoms (fractional coordinates):
Sb  0.0000  0.0000  0.0000
P  0.2500  0.2500  0.2500
P  0.7500  0.7500  0.7500
Cl  0.5000  0.5000  0.5000

Calculated values
formation energy from raw total energies = 0.59 eV/atom
energy relative to the lowest polymorph listed for this composition = 621 meV per atom

The records above yield DOS at the Fermi energy values of 2.9 1.5 29.9 16.7 3.4 14.5 14.6 2.2 states/eV/cell, respectively.
The records above yield uncorrected energy values of -5.128 -6.527 -5.139 -5.627 -5.479 -7.346 -6.103 -3.610 eV/atom, respectively.